(1)
BeAu2Se | PBE-GGA | optimized geometry

**Raw formation energy**: 0.4174 eV/atom
**Distance to the lowest polymorph of the same formula**: 455 meV/atom
**E_tot**: -3.024 eV per atom
**N(E_F)**: 1.8 states/eV/f.u.

Unit cell a=5.125 b=5.125 c=2.835 alpha=90.00 beta=90.00 gamma=113.23
Fractional positions:
Be  0.500  0.000  0.500
Au  0.000  0.000  0.000
Au  0.500  0.500  0.000
Se  0.000  0.500  0.500

=====

(2)
La2YCo | PBE-GGA | optimized geometry

**Distance to the lowest polymorph of the same formula**: 398 meV/atom
**E_form**: 1.2 eV/f.u.
**E_tot**: -5.561 eV per atom
**N(E_F)**: 5.1 states/eV/f.u.

Unit cell a=5.399 b=5.399 c=3.794 alpha=90.00 beta=90.00 gamma=89.92
Site moments in Bohr magnetons follow the coordinates.
Fractional positions:
Co  0.000  0.500  0.500  -1.19
La  0.000  0.000  0.000  0.12
La  0.500  0.500  0.000  0.12
Y  0.500  0.000  0.500  0.04

=====

(3)
Tb2Th5Sc4 | PBE-GGA | optimized geometry

**E_form**: 1.8 eV/f.u.
**E_tot**: -6.350 eV per atom
**N(E_F)**: 17.8 states/eV/f.u.

Unit cell a=3.342 b=11.508 c=14.469 alpha=143.72 beta=90.00 gamma=90.00
Fractional positions:
Tb  0.000  0.027  0.641
Tb  0.000  0.973  0.359
Th  0.000  0.580  0.274
Th  0.000  0.224  0.193
Th  0.000  0.500  0.000
Th  0.000  0.776  0.807
Th  0.000  0.420  0.726
Sc  0.500  0.677  0.542
Sc  0.500  0.157  0.928
Sc  0.500  0.323  0.458
Sc  0.500  0.843  0.072